The following is a GGA+U calculation of a geometry-optimized Na3Fe2TeO6 structure, from Alexandria via LeMat-Bulk.

Properties
calculated volume	146.12	Å³/f.u.
symmetry	C2/m, No. 12
raw total energy	-5.427	eV per atom
N(E_F)	2.6	states/eV/cell

Cell: 5.5853 5.5853 5.7271 Å, 98.90 98.90 120.58°
Site moments in Bohr magnetons follow the coordinates.
Atoms (fractional coordinates):
O  0.3906  0.0744  0.2051  -0.03
O  0.2449  0.2449  0.7891  -0.04
O  0.9256  0.6094  0.7949  -0.03
O  0.6094  0.9256  0.7949  -0.03
O  0.7551  0.7551  0.2109  -0.04
O  0.0744  0.3906  0.2051  -0.03
Fe  0.3339  0.6661  0.0000  3.75
Fe  0.6661  0.3339  0.0000  3.75
Na  0.5000  0.5000  0.5000  0.00
Na  0.1721  0.8279  0.5000  0.00
Na  0.8279  0.1721  0.5000  0.00
Te  0.0000  0.0000  0.0000  -0.12